This record from Alexandria via LeMat-Bulk describes an optimized crystal structure of BaRe2P. The functional is PBE.

Structure (extended XYZ):
```
4
Lattice="1.538 0.888 9.186 -1.538 0.888 9.186 0.000 -1.776 9.186" Properties=species:S:1:pos:R:3 pbc="T T T"
Ba 0.000 0.000 0.000
Re 0.000 0.000 6.237
Re 0.000 0.000 21.320
P 0.000 0.000 13.779
```

## Properties
**Density**: 11.93 g cm⁻³
**Energy of formation from the pure elements**: 761.9 meV per atom
**VASP energy**: -29.2 eV for the cell shown